VASP calculation (PBE) on a relaxed structure of ZrNp2Se5.

Geometry as CIF:
```
data_ZrNp2Se5
_chemical_formula_sum 'Zr4 Np8 Se20'
_cell_length_a 11.916
_cell_length_b 8.236
_cell_length_c 7.604
_cell_angle_alpha 90.00
_cell_angle_beta 90.00
_cell_angle_gamma 90.00
_space_group_name_H-M_alt 'P n m a'
_space_group_IT_number 62
loop_
_space_group_symop_operation_xyz
'x,y,z'
'-x,-y,-z'
'-x+1/2,-y,z+1/2'
'x+1/2,y,-z+1/2'
'x+1/2,-y+1/2,-z+1/2'
'-x+1/2,y+1/2,z+1/2'
'-x,y+1/2,-z'
'x,-y+1/2,z'
loop_
_atom_site_label
_atom_site_fract_x
_atom_site_fract_y
_atom_site_fract_z
Zr1 0.008 0.250 0.080
Np1 0.177 0.502 0.539
Se1 0.002 0.250 0.454
Se2 0.087 0.541 0.173
Se3 0.188 0.250 0.841
Se4 0.212 0.750 0.821
```

## Properties
V   746.25 Å³ per cell
Magnetic moment   1.000 μB per atom
Uncorrected formation energy   -1.23 eV/atom